A relaxed BeCu2Rh crystal, computed with PBE-GGA.

Unit cell a=4.6029 b=4.6029 c=4.6029 alpha=142.48 beta=127.00 gamma=66.73
Closest atoms and distances in Å follow each position.
Positions (direct):
Be 0.2472 0.7472 0.5000  6 Cu 2.27-2.53, 2 Rh 2.29
Rh 0.4745 0.4745 0.0000  2 Be 2.29, 4 Cu 2.56
Cu 0.7546 0.2546 0.5000  4 Be 2.53, 4 Cu 2.54-2.71, 4 Rh 2.61-2.66
Cu 0.0237 0.0237 0.0000  2 Be 2.27

## Properties
SG: Imm2
Density of states at the Fermi level in states/eV/atom: 0.373
DFT formation energy in meV/atom: -108